This record from the Alexandria database describes an optimized crystal structure of Mn3HgO6. The functional is GGA+U.

Values from the calculation:
- total magnetization (μB per atom) = 1.1000
- total energy (eV per atom) = -6.39
- V (Å³/cell) = 243.3

POSCAR file:
```
Mn3HgO6
1.0
5.0271 0.0000 0.0000
0.0000 7.4037 -1.1402
0.0000 -2.7636 6.9625
Mn Hg O
6 2 12
direct
0.5191 0.8809 0.7538 Mn
0.0191 0.7538 0.8809 Mn
0.4327 0.3976 0.6024 Mn
0.9327 0.6024 0.3976 Mn
0.0191 0.1191 0.2462 Mn
0.5191 0.2462 0.1191 Mn
0.9764 0.2141 0.7859 Hg
0.4764 0.7859 0.2141 Hg
0.1815 0.7272 0.6334 O
0.6815 0.6334 0.7272 O
0.2054 0.5161 0.8452 O
0.7054 0.8452 0.5161 O
0.3342 0.9610 0.0390 O
0.4300 0.1606 0.8394 O
0.9300 0.8394 0.1606 O
0.8342 0.0390 0.9610 O
0.2054 0.1548 0.4839 O
0.7054 0.4839 0.1548 O
0.1815 0.3666 0.2728 O
0.6815 0.2728 0.3666 O
```